Ta3TiIr: optimized geometry, GGA-PBE.

a b c (Å): 4.5842 4.5842 4.5842
angles (deg): 90.00 90.00 90.00
Closest atoms and distances in Å follow each position.
Space group Pm-3m (No. 221)
One atom of each set of equivalent atoms:
Ta 0.0000 0.0000 0.5000 x3  2 Ti 2.29
Ti 0.0000 0.0000 0.0000 x1  6 Ta 2.29
Ir 0.5000 0.5000 0.5000 x1  12 Ta 3.24

Properties
- E above lowest polymorph (meV per atom) = 411

Tb3SmDy6Tm2: optimized geometry, GGA-PBE.

a b c (Å): 6.1371 10.6199 11.7462
angles (deg): 90.00 99.97 90.00
Closest atoms and distances in Å follow each position.
Space group C2/m (No. 12)
One atom of each set of equivalent atoms:
Tb 0.0000 0.0000 0.0000 x2  6 Tb 3.54, 6 Dy 3.55
Tb 0.0000 0.3331 0.0000 x4  6 Tb 3.54-3.55, 6 Dy 3.54-3.55
Sm 0.0000 0.5000 0.5000 x2  6 Dy 3.53-3.54, 6 Tm 3.54
Dy 0.2493 0.0000 0.7492 x4  1 Sm 3.53, 2 Tm 3.53, 6 Dy 3.54-3.55, 3 Tb 3.55
Dy 0.2494 0.1670 0.2505 x8  2 Tm 3.53-3.54, 6 Dy 3.54-3.55, 1 Sm 3.54, 3 Tb 3.54-3.55
Tm 0.0000 0.1668 0.5000 x4  6 Dy 3.53-3.54, 3 Sm 3.54, 3 Tm 3.54

Properties
- electronic total energy (eV per atom) = -4.580

CsNbCrS2: optimized geometry, GGA-PBE.

a b c (Å): 4.9304 4.9304 5.3053
angles (deg): 90.00 90.00 90.00
Closest atoms and distances in Å follow each position.
Space group P4/mmm (No. 123)
One atom of each set of equivalent atoms:
Cs 0.0000 0.0000 0.0000 x1  4 Cr 3.49, 8 S 3.62
Nb 0.5000 0.5000 0.5000 x1  4 S 2.47, 2 Cr 2.65
Cr 0.5000 0.5000 0.0000 x1  2 Nb 2.65
S 0.0000 0.5000 0.5000 x2  2 Nb 2.47

Properties
- electronic total energy (eV per atom) = -5.920